# 1
The following is a GGA-PBE calculation of a geometry-optimized MgAl2CdAs structure, from Alexandria via LeMat-Bulk.

Output
As for the space group: No. 123. For the calculated formation energy, the calculation gives 0.66 eV per atom.

Unit cell a=4.9416 b=5.2139 c=4.9416 alpha=90.00 beta=90.00 gamma=90.00
With the nearest neighbours (Å) after each atom.
Fractional positions:
As 0.5000 0.5000 0.5000  4 Mg 3.49, 8 Al 3.59
Al 0.0000 0.0000 0.5000  2 Cd 2.47
Cd 0.0000 0.0000 0.0000  4 Al 2.47, 2 Mg 2.61
Al 0.5000 0.0000 0.0000  2 Cd 2.47
Mg 0.0000 0.5000 0.0000  2 Cd 2.61

***

# 2
The following is a GGA-PBE calculation of a geometry-optimized AlCd2MoAs structure, from Alexandria via LeMat-Bulk.

Output
As for the space group: No. 123. For the calculated formation energy, the calculation gives 0.90 eV per atom.

Unit cell a=5.1854 b=4.8316 c=5.1854 alpha=90.00 beta=90.00 gamma=90.00
With the nearest neighbours (Å) after each atom.
Fractional positions:
As 0.0000 0.0000 0.0000  2 Mo 2.42, 4 Cd 2.59
Cd 0.5000 0.0000 0.0000  2 As 2.59
Cd 0.0000 0.0000 0.5000  2 As 2.59
Mo 0.0000 0.5000 0.0000  2 As 2.42
Al 0.5000 0.5000 0.5000  8 Cd 3.54, 4 Mo 3.67

***

# 3
The following is a GGA-PBE calculation of a geometry-optimized AlCdAsO5 structure, from Alexandria via LeMat-Bulk.

Output
As for the space group: No. 15. The energy relative to the elements, uncorrected is -1.754 eV per atom.

Unit cell a=5.5246 b=5.5246 c=6.9859 alpha=104.34 beta=104.34 gamma=103.66
With the nearest neighbours (Å) after each atom.
Fractional positions:
O 0.1168 0.6918 0.8957  1 As 1.73
O 0.3082 0.8832 0.6043  1 As 1.73
As 0.6733 0.3267 0.2500  4 O 1.72-1.73
O 0.3616 0.2622 0.0834  1 As 1.72
Al 0.0000 0.0000 0.5000  6 O 1.83-2.02
Al 0.0000 0.0000 0.0000  6 O 1.83-2.02
As 0.3267 0.6733 0.7500  4 O 1.72-1.73
Cd 0.3155 0.6845 0.2500  3 O 2.19-2.44
O 0.6384 0.7378 0.9166  1 As 1.72
O 0.9364 0.0636 0.7500  2 Al 1.83
O 0.8832 0.3082 0.1043  1 As 1.73
O 0.0636 0.9364 0.2500  2 Al 1.83
O 0.7378 0.6384 0.4166  1 As 1.72
O 0.2622 0.3616 0.5834  1 As 1.72
Cd 0.6845 0.3155 0.7500  3 O 2.19-2.44
O 0.6918 0.1168 0.3957  1 As 1.73

***

# 4
The following is a GGA-PBE calculation of a geometry-optimized AlCdAs2O8 structure, from Alexandria via LeMat-Bulk.

Output
As for the space group: No. 119. The energy relative to the elements, uncorrected is -1.209 eV per atom.

Unit cell a=5.7039 b=5.7039 c=5.7039 alpha=107.38 beta=107.38 gamma=113.73
With the nearest neighbours (Å) after each atom.
Fractional positions:
O 0.3018 0.1249 0.8230  1 As 1.72
O 0.5212 0.6982 0.8230  1 As 1.72
O 0.3767 0.0774 0.2993  1 As 1.73
O 0.8751 0.6982 0.1770  1 As 1.72
O 0.9226 0.2219 0.2993  1 As 1.73
Cd 0.2500 0.7500 0.5000  8 O 2.21-2.45
As 0.7500 0.2500 0.5000  4 O 1.73
O 0.7781 0.0774 0.7007  1 As 1.73
Al 0.0000 0.0000 0.0000  8 O 2.08-2.23
O 0.9226 0.6233 0.7007  1 As 1.73
As 0.5000 0.5000 0.0000  4 O 1.72
O 0.3018 0.4788 0.1770  1 As 1.72

***

# 5
The following is a GGA-PBE calculation of a geometry-optimized AlCdAs2O6 structure, from Alexandria via LeMat-Bulk.

Output
As for the space group: No. 15. The energy relative to the elements, uncorrected is -1.500 eV per atom.

Unit cell a=6.1687 b=6.6150 c=6.6150 alpha=84.06 beta=75.83 gamma=75.83
With the nearest neighbours (Å) after each atom.
Fractional positions:
O 0.7228 0.4283 0.2912  1 As 1.75, 1 Al 1.90
Al 0.7500 0.7078 0.2922  6 O 1.90-2.03
O 0.4236 0.8147 0.3601  1 As 1.78, 1 Al 1.92
As 0.8089 0.1876 0.4181  3 O 1.75-1.82
O 0.2103 0.9937 0.7614  1 As 1.82, 1 Al 2.03
O 0.0764 0.6399 0.1853  1 As 1.78, 1 Al 1.92
As 0.6911 0.5819 0.8124  3 O 1.75-1.82
O 0.2772 0.5717 0.7088  1 As 1.75, 1 Al 1.90
O 0.5764 0.1853 0.6399  1 As 1.78, 1 Al 1.92
Cd 0.2500 0.9093 0.0907  4 O 2.25-2.26
As 0.3089 0.4181 0.1876  3 O 1.75-1.82
O 0.7103 0.7614 0.9937  1 As 1.82, 1 Al 2.03
O 0.7772 0.7088 0.5717  1 As 1.75, 1 Al 1.90
O 0.2228 0.2912 0.4283  1 As 1.75, 1 Al 1.90
O 0.2897 0.2386 0.0063  1 As 1.82, 1 Al 2.03
Al 0.2500 0.2922 0.7078  6 O 1.90-2.03
As 0.1911 0.8124 0.5819  3 O 1.75-1.82
Cd 0.7500 0.0907 0.9093  4 O 2.25-2.26
O 0.7897 0.0063 0.2386  1 As 1.82, 1 Al 2.03
O 0.9236 0.3601 0.8147  1 As 1.78, 1 Al 1.92

***

# 6
The following is a GGA-PBE calculation of a geometry-optimized RbAlCdAs2 structure, from Alexandria via LeMat-Bulk.

Output
As for the space group: No. 123. For the calculated formation energy, the calculation gives 0.26 eV per atom.

Unit cell a=4.9428 b=6.6899 c=4.9428 alpha=90.00 beta=90.00 gamma=90.00
With the nearest neighbours (Å) after each atom.
Fractional positions:
Cd 0.5000 0.5000 0.5000  4 Rb 3.50
Rb 0.0000 0.5000 0.0000  2 Al 3.34, 4 Cd 3.50
As 0.0000 0.0000 0.5000  2 Al 2.47
Al 0.0000 0.0000 0.0000  4 As 2.47
As 0.5000 0.0000 0.0000  2 Al 2.47

***

Across the entries above, calculated density takes the values 3464, 5402, 5149, 4870, 5047, 3807 kg/m3, respectively.